[1]
The following is a DFT calculation (GGA-PBE) of a geometry-optimized ZrAlZnHg structure.

Results
Formation enthalpy at 0 K (eV per atom): -0.29
Crystal system: orthorhombic

abc: 4.0699 4.2318 4.3121
angles: 90.00 90.00 90.00
Closest atoms and distances in Å follow each position.
Sites, in units of the cell vectors:
Zr: 0.0000 0.0000 0.0000  4 Al 2.94, 4 Zn 2.96, 4 Hg 3.02
Al: 0.5000 0.5000 0.0000  4 Zr 2.94, 4 Hg 2.96, 4 Zn 3.02
Zn: 0.5000 0.0000 0.5000  4 Hg 2.94, 4 Zr 2.96, 4 Al 3.02
Hg: 0.0000 0.5000 0.5000  4 Zn 2.94, 4 Al 2.96, 4 Zr 3.02



[2]
The following is a DFT calculation (GGA-PBE) of a geometry-optimized La2Tb2Ho7 structure.

Results
Formation enthalpy at 0 K (eV per atom): 0.15
Crystal system: monoclinic
Relative energy among the computed polymorphs (meV per atom): 0

abc: 8.0824 8.0824 6.1158
angles: 106.45 106.45 91.57
Closest atoms and distances in Å follow each position.
Sites, in units of the cell vectors:
La: 0.0968 0.0968 0.3103  7 Ho 3.47-3.80, 2 La 3.53-3.78, 2 Tb 3.79
La: 0.9032 0.9032 0.6897  7 Ho 3.47-3.80, 2 La 3.53-3.78, 2 Tb 3.79
Tb: 0.2892 0.7108 0.0000  6 Ho 3.30-3.44
Tb: 0.7108 0.2892 0.0000  6 Ho 3.30-3.44
Ho: 0.0873 0.5652 0.3202  2 Tb 3.30-3.44, 6 Ho 3.31-3.63, 1 La 3.66
Ho: 0.2718 0.2718 0.9258  5 Ho 3.36-3.56, 2 Tb 3.44, 2 La 3.47-3.63
Ho: 0.4348 0.9127 0.6798  2 Tb 3.30-3.44, 6 Ho 3.31-3.63, 1 La 3.66
Ho: 0.5000 0.5000 0.5000  6 Ho 3.31-3.41
Ho: 0.5652 0.0873 0.3202  2 Tb 3.30-3.44, 6 Ho 3.31-3.63, 1 La 3.66
Ho: 0.7282 0.7282 0.0742  5 Ho 3.36-3.56, 2 Tb 3.44, 2 La 3.47-3.63
Ho: 0.9127 0.4348 0.6798  2 Tb 3.30-3.44, 6 Ho 3.31-3.63, 1 La 3.66



[3]
The following is a DFT calculation (GGA-PBE) of a geometry-optimized KNa8Ga4 structure.

Results
Formation enthalpy at 0 K (eV per atom): -0.02
Crystal system: tetragonal

abc: 8.4537 8.4537 8.4537
angles: 96.96 96.96 139.27
Closest atoms and distances in Å follow each position.
Sites, in units of the cell vectors:
K: 0.0000 0.0000 0.0000  12 Na 3.82-3.85, 8 Ga 4.23
Na: 0.0000 0.3405 0.3405  5 Na 3.23-3.60, 4 Ga 3.32
Na: 0.0000 0.6595 0.6595  5 Na 3.23-3.60, 4 Ga 3.32
Na: 0.2783 0.5000 0.7783  4 Ga 3.18, 4 Na 3.23-3.51
Na: 0.3405 0.0000 0.3405  5 Na 3.23-3.60, 4 Ga 3.32
Na: 0.5000 0.2783 0.7783  4 Ga 3.18, 4 Na 3.23-3.51
Na: 0.5000 0.7217 0.2217  4 Ga 3.18, 4 Na 3.23-3.51
Na: 0.6595 0.0000 0.6595  5 Na 3.23-3.60, 4 Ga 3.32
Na: 0.7217 0.5000 0.2217  4 Ga 3.18, 4 Na 3.23-3.51
Ga: 0.0000 0.0000 0.5000  2 Ga 2.94, 4 Na 3.18
Ga: 0.0000 0.5000 0.0000  2 Ga 2.94, 4 Na 3.18
Ga: 0.5000 0.0000 0.0000  2 Ga 2.94, 4 Na 3.18
Ga: 0.5000 0.5000 0.5000  2 Ga 2.94, 4 Na 3.18



[4]
The following is a DFT calculation (GGA-PBE) of a geometry-optimized Fe3H6C6N6Cl8 structure.

Results
Crystal system: trigonal
VASP energy (eV for the cell shown): -170.8

abc: 10.0806 10.0806 6.6119
angles: 90.00 90.00 120.00
Closest atoms and distances in Å follow each position.
Sites, in units of the cell vectors:
Fe: 0.0000 0.0000 0.0000  6 N 1.89
Fe: 0.3333 0.6667 0.1789  4 Cl 2.21
Fe: 0.6667 0.3333 0.8211  4 Cl 2.21
H: 0.0893 0.3780 0.6560  1 C 1.08
H: 0.2887 0.9107 0.6560  1 C 1.08
H: 0.3780 0.2887 0.3440  1 C 1.08
H: 0.6220 0.7113 0.6560  1 C 1.08
H: 0.7113 0.0893 0.3440  1 C 1.08
H: 0.9107 0.6220 0.3440  1 C 1.08
C: 0.0658 0.2783 0.7452  1 H 1.08, 1 N 1.16
C: 0.2125 0.9342 0.7452  1 H 1.08, 1 N 1.16
C: 0.2783 0.2125 0.2548  1 H 1.08, 1 N 1.16
C: 0.7217 0.7875 0.7452  1 H 1.08, 1 N 1.16
C: 0.7875 0.0658 0.2548  1 H 1.08, 1 N 1.16
C: 0.9342 0.7217 0.2548  1 H 1.08, 1 N 1.16
N: 0.0405 0.1707 0.8373  1 C 1.16
N: 0.1302 0.9595 0.8373  1 C 1.16
N: 0.1707 0.1302 0.1627  1 C 1.16
N: 0.8293 0.8698 0.8373  1 C 1.16
N: 0.8698 0.0405 0.1627  1 C 1.16
N: 0.9595 0.8293 0.1627  1 C 1.16
Cl: 0.1131 0.4759 0.2898  1 Fe 2.21
Cl: 0.3333 0.6667 0.8448  1 Fe 2.21
Cl: 0.3628 0.8869 0.2898  1 Fe 2.21
Cl: 0.4759 0.3628 0.7102  1 Fe 2.21
Cl: 0.5241 0.6372 0.2898  1 Fe 2.21
Cl: 0.6372 0.1131 0.7102  1 Fe 2.21
Cl: 0.6667 0.3333 0.1552  1 Fe 2.21
Cl: 0.8869 0.5241 0.7102  1 Fe 2.21